1.
# Y2ZrNi

Crystalline Y2ZrNi at its relaxed geometry (PBE, the Alexandria database).

Results
The magnetization comes out at 0.000 μB per atom. As for the formation energy: 155 meV per atom. Its space group is No. 122. The energy above the most stable polymorph in this dataset comes out at 0.2742 eV/atom.

```
Y2ZrNi
1.0
-0.179 -3.537 7.248
7.529 2.527 1.419
2.591 2.042 5.550
Y Zr Ni
4 2 2
Direct
0.375 0.439 0.750
0.875 0.811 0.750
0.561 0.125 0.250
0.189 0.625 0.250
0.000 0.000 0.000
0.750 0.250 0.500
0.500 0.500 0.000
0.250 0.750 0.500
```

---

2.
# Y2ZrNi

Crystalline Y2ZrNi at its relaxed geometry (PBE, the Alexandria database).

Results
The magnetization comes out at 0.001 μB per atom. As for the formation energy: -2 meV per atom. Its space group is No. 71. The energy above the most stable polymorph in this dataset comes out at 0.1180 eV/atom.

```
Y2ZrNi
1.0
6.038 0.021 0.005
2.804 5.348 -0.005
-3.861 -3.607 2.923
Ni Y Zr
1 2 1
Direct
0.750 0.250 0.500
0.951 0.951 0.000
0.549 0.549 0.000
0.250 0.750 0.500
```

---

3.
# YZr2Ni2

Crystalline YZr2Ni2 at its relaxed geometry (PBE, the Alexandria database).

Results
The magnetization comes out at 0.000 μB per atom. As for the formation energy: -250 meV per atom. Its space group is No. 139. The energy above the most stable polymorph in this dataset comes out at 0.0173 eV/atom.

```
YZr2Ni2
1.0
4.479 0.000 0.000
0.000 4.479 0.000
2.239 2.239 5.080
Zr Y Ni
2 1 2
Direct
0.250 0.750 0.500
0.750 0.250 0.500
0.000 0.000 0.000
0.385 0.385 0.230
0.615 0.615 0.770
```

---

What is the formula in the first record?
Y2ZrNi